[1]
The following is a PBE-GGA calculation of LaTeO2 after structural relaxation, from Alexandria via LeMat-Bulk.

a = 6.8038 Å, b = 6.8038 Å, c = 6.8038 Å
α = 32.66°, β = 32.66°, γ = 32.66°
Last column: nearest neighbours and their distance in Å.
Fractional coordinates of all 4 atoms:
Te1 0.0000 0.0000 0.0000  2 O 2.21
O1 0.8854 0.8854 0.8854  1 Te 2.21, 3 La 2.43
O2 0.1146 0.1146 0.1146  1 Te 2.21, 3 La 2.43
La1 0.5000 0.5000 0.5000  6 O 2.43

## Properties
SG: R-3m, No. 166
Energy relative to the lowest polymorph listed for this composition in meV per atom: 0

[2]
The following is a PBE-GGA calculation of ZrAs2Pb after structural relaxation, from Alexandria via LeMat-Bulk.

a = 5.1352 Å, b = 5.1352 Å, c = 5.7501 Å
α = 81.43°, β = 81.43°, γ = 38.78°
Last column: nearest neighbours and their distance in Å.
Fractional coordinates of all 4 atoms:
Pb1 0.7500 0.7500 0.7500  6 As 3.16-3.46, 4 Zr 3.34, 2 Pb 3.41
As1 0.9782 0.9782 0.0860  2 As 2.63, 3 Zr 2.83-2.93
As2 0.5218 0.5218 0.4140  2 As 2.63, 3 Zr 2.83-2.93
Zr1 0.2500 0.2500 0.2500  6 As 2.83-2.93

## Properties
SG: C2/m, No. 12
ΔE_f in eV/atom: -0.2511

Ordered total energy results: -26.77, -22.56; unit eV/cell.